Entry from Alexandria via LeMat-Bulk: AcTb2Er after structural relaxation (PBE).

POSCAR file:
```
AcTb2Er
1.0
-1.008 -1.499 -3.192
-0.521 -3.221 1.677
-19.555 5.124 3.766
Tb Er Ac
4 2 2
direct
0.750 0.750 0.059
0.250 0.250 0.941
0.751 0.750 0.293
0.249 0.250 0.707
0.749 0.750 0.824
0.251 0.250 0.176
0.251 0.250 0.426
0.749 0.750 0.574
```

Computed properties:
* crystal system: monoclinic
* energy relative to the lowest polymorph listed for this composition: 0 meV/atom
* volume: 34.59 A^3/atom
* calculated formation energy: 0.06 eV/atom
* M_tot: 0.00 μB per formula unit

Entry from Alexandria via LeMat-Bulk: AcTb5Er12 after structural relaxation (PBE).

POSCAR file:
```
AcTb5Er12
1.0
11.319 0.000 -0.023
5.660 8.581 -0.012
-0.024 0.000 5.906
Er Tb Ac
12 5 1
direct
0.505 0.336 0.554
0.841 0.664 0.554
0.815 0.000 0.462
0.159 0.336 0.446
0.351 0.666 0.944
0.017 0.334 0.944
0.649 0.334 0.056
0.663 0.000 0.959
0.337 0.000 0.041
0.185 0.000 0.538
0.983 0.666 0.056
0.495 0.664 0.446
0.326 0.348 0.000
0.834 0.331 0.500
0.674 0.652 0.000
0.166 0.669 0.500
0.500 0.000 0.500
0.000 0.000 0.000
```

Computed properties:
* crystal system: monoclinic
* volume: 31.87 A^3/atom
* calculated formation energy: 0.12 eV/atom
* M_tot: 0.00 μB per formula unit

Entry from Alexandria via LeMat-Bulk: AcTb2Er after structural relaxation (PBE).

POSCAR file:
```
AcTb2Er
1.0
-0.421 2.194 -2.792
-3.281 1.011 -1.000
-0.516 11.059 6.479
Ac Tb Er
1 2 1
direct
0.000 0.000 0.000
0.093 0.093 0.721
0.907 0.907 0.279
0.500 0.500 0.500
```

Computed properties:
* crystal system: trigonal
* energy relative to the lowest polymorph listed for this composition: 123 meV/atom
* volume: 35.05 A^3/atom
* calculated formation energy: 0.18 eV/atom
* M_tot: 0.00 μB per formula unit

Entry from Alexandria via LeMat-Bulk: AcTb5Er2 after structural relaxation (PBE).

POSCAR file:
```
AcTb5Er2
1.0
-5.780 -4.234 7.230
4.452 -5.653 0.249
7.822 6.607 10.123
Tb Er Ac
20 8 4
direct
0.740 0.000 0.000
0.260 0.500 0.500
0.742 0.499 0.250
0.000 0.751 0.874
0.500 0.251 0.625
0.260 0.000 0.000
0.500 0.749 0.375
0.742 0.001 0.750
0.258 0.001 0.750
0.258 0.501 0.750
0.742 0.501 0.750
0.742 0.999 0.250
0.000 0.249 0.126
0.500 0.751 0.875
0.000 0.251 0.626
0.258 0.499 0.250
0.500 0.249 0.125
0.258 0.999 0.250
0.000 0.749 0.374
0.740 0.500 0.500
0.500 0.751 0.625
0.500 0.749 0.125
0.260 0.500 0.000
0.500 0.249 0.375
0.740 0.500 0.000
0.500 0.251 0.875
0.740 0.000 0.500
0.260 0.000 0.500
0.000 0.249 0.376
0.000 0.251 0.876
0.000 0.751 0.624
0.000 0.749 0.124
```

Computed properties:
* crystal system: orthorhombic
* energy relative to the lowest polymorph listed for this composition: 17 meV/atom
* volume: 32.98 A^3/atom
* calculated formation energy: 0.04 eV/atom
* M_tot: 0.00 μB per formula unit

Entry from Alexandria via LeMat-Bulk: Ac2Tb3Er7 after structural relaxation (PBE).

POSCAR file:
```
Ac2Tb3Er7
1.0
3.570 0.000 0.000
0.000 6.336 0.734
0.000 2.358 17.947
Ac Er Tb
2 7 3
direct
0.500 0.619 0.324
0.500 0.381 0.676
0.500 0.241 0.500
0.000 0.438 0.842
0.500 0.759 0.500
0.500 0.068 0.162
0.000 0.562 0.158
0.000 0.000 0.000
0.500 0.932 0.838
0.500 0.500 0.000
0.000 0.889 0.658
0.000 0.111 0.342
```

Computed properties:
* crystal system: monoclinic
* volume: 33.32 A^3/atom
* calculated formation energy: 0.12 eV/atom
* M_tot: 0.00 μB per formula unit

Entry from Alexandria via LeMat-Bulk: AcTb3Er3 after structural relaxation (PBE).

POSCAR file:
```
AcTb3Er3
1.0
6.396 0.034 0.046
-1.428 6.235 0.046
-1.428 -1.802 5.969
Er Tb Ac
3 3 1
direct
0.962 0.551 0.962
0.551 0.962 0.962
0.962 0.962 0.551
0.169 0.527 0.527
0.527 0.169 0.527
0.527 0.527 0.169
0.102 0.102 0.102
```

Computed properties:
* crystal system: trigonal
* energy relative to the lowest polymorph listed for this composition: 82 meV/atom
* volume: 34.20 A^3/atom
* calculated formation energy: 0.32 eV/atom
* M_tot: 0.00 μB per formula unit

Entry from Alexandria via LeMat-Bulk: AcTb3Er6 after structural relaxation (PBE).

POSCAR file:
```
AcTb3Er6
1.0
8.909 0.000 0.000
0.000 9.030 -1.122
0.000 -3.108 8.552
Tb Er Ac
6 12 2
direct
0.934 0.031 0.313
0.916 0.451 0.549
0.934 0.687 0.969
0.434 0.313 0.031
0.416 0.549 0.451
0.434 0.969 0.687
0.777 0.469 0.177
0.277 0.177 0.469
0.104 0.803 0.691
0.784 0.048 0.952
0.104 0.309 0.197
0.777 0.823 0.531
0.277 0.531 0.823
0.638 0.289 0.711
0.604 0.691 0.803
0.138 0.711 0.289
0.284 0.952 0.048
0.604 0.197 0.309
0.015 0.222 0.778
0.515 0.778 0.222
```

Computed properties:
* crystal system: orthorhombic
* energy relative to the lowest polymorph listed for this composition: 0 meV/atom
* volume: 32.84 A^3/atom
* calculated formation energy: 0.15 eV/atom
* M_tot: 0.00 μB per formula unit

Entry from Alexandria via LeMat-Bulk: AcTb2Er7 after structural relaxation (PBE).

POSCAR file:
```
AcTb2Er7
1.0
6.294 0.642 -1.870
2.576 7.566 -3.458
-3.846 -0.032 8.069
Er Ac Tb
7 1 2
direct
0.760 0.622 0.838
0.500 0.500 0.000
0.087 0.658 0.527
0.734 0.939 0.235
0.266 0.061 0.765
0.913 0.342 0.473
0.240 0.378 0.162
0.000 0.000 0.000
0.447 0.779 0.428
0.553 0.221 0.572
```

Computed properties:
* crystal system: triclinic
* volume: 32.45 A^3/atom
* calculated formation energy: 0.09 eV/atom
* M_tot: 0.00 μB per formula unit

Entry from Alexandria via LeMat-Bulk: AcTb4Er2 after structural relaxation (PBE).

POSCAR file:
```
AcTb4Er2
1.0
-6.824 0.503 2.061
3.344 -8.944 0.670
3.933 5.852 5.479
Er Tb Ac
4 8 2
direct
0.033 0.237 0.517
0.517 0.838 0.249
0.671 0.577 0.390
0.730 0.413 0.965
0.622 0.117 0.101
0.010 0.833 0.247
0.583 0.676 0.827
0.212 0.011 0.694
0.718 0.015 0.698
0.081 0.677 0.830
0.539 0.241 0.519
0.235 0.417 0.960
0.132 0.126 0.108
0.166 0.572 0.395
```

Computed properties:
* crystal system: triclinic
* volume: 33.29 A^3/atom
* calculated formation energy: 0.05 eV/atom
* M_tot: 0.00 μB per formula unit

Entry from Alexandria via LeMat-Bulk: AcTb3Er7 after structural relaxation (PBE).

POSCAR file:
```
AcTb3Er7
1.0
-1.295 -5.715 -0.899
1.384 1.480 8.168
-6.987 4.412 1.590
Er Tb Ac
7 3 1
direct
0.000 0.500 0.500
0.715 0.025 0.404
0.715 0.404 0.025
0.805 0.805 0.805
0.285 0.596 0.975
0.285 0.975 0.596
0.195 0.195 0.195
0.500 0.000 0.000
0.000 0.211 0.789
0.000 0.789 0.211
0.500 0.500 0.500
```

Computed properties:
* crystal system: orthorhombic
* energy relative to the lowest polymorph listed for this composition: 152 meV/atom
* volume: 33.41 A^3/atom
* calculated formation energy: 0.31 eV/atom
* M_tot: 0.09 μB per formula unit